Entry 1:
# Li2SbHPd

A relaxed Li2SbHPd crystal (PBE, Alexandria).

The space group is P4/mmm (No. 123) and the conventional cell measures 4.023, 4.023 and 4.297 Å, with angles of 90.00, 90.00 and 90.00 degrees. The inequivalent atoms are Li at (0.000, 0.500, 0.000), Sb at (0.000, 0.000, 0.500), H at (0.000, 0.000, 0.000) and Pd at (0.500, 0.500, 0.500).

The total energy comes out at -3.600 eV per atom. As for the relative energy among the computed polymorphs: 0.191 eV per atom.

Entry 2:
# Li2SbHPd

A relaxed Li2SbHPd crystal (PBE, Alexandria).

The space group is P4/mmm (No. 123) and the conventional cell measures 4.107, 4.107 and 3.936 Å, with angles of 90.00, 90.00 and 90.00 degrees. The inequivalent atoms are Li at (0.000, 0.500, 0.000), Sb at (0.000, 0.000, 0.500), H at (0.500, 0.500, 0.000) and Pd at (0.500, 0.500, 0.500).

The total energy comes out at -3.791 eV per atom. As for the relative energy among the computed polymorphs: 0.000 eV per atom.

Please write out number 1 again, unchanged.
# Li2SbHPd

A relaxed Li2SbHPd crystal (PBE, Alexandria).

The space group is P4/mmm (No. 123) and the conventional cell measures 4.023, 4.023 and 4.297 Å, with angles of 90.00, 90.00 and 90.00 degrees. The inequivalent atoms are Li at (0.000, 0.500, 0.000), Sb at (0.000, 0.000, 0.500), H at (0.000, 0.000, 0.000) and Pd at (0.500, 0.500, 0.500).

The total energy comes out at -3.600 eV per atom. As for the relative energy among the computed polymorphs: 0.191 eV per atom.

The highest total energy belongs to which entry? number 1

What is the relative energy among the computed polymorphs in the second record? 0.000 eV per atom